1.
Material: Pm2YHoTm2
Method: DFT, PBE-GGA
State: optimized geometry

a b c (Å): 5.6240 9.6924 7.0336
angles (deg): 90.00 90.00 90.00
Last column: nearest neighbours and their distance in Å.
Atoms (fractional coordinates):
Pm 0.0000 0.1561 0.0004  3 Ho 3.25-3.53, 2 Tm 3.34, 2 Y 3.64
Pm 0.0000 0.8439 0.5004  3 Ho 3.25-3.53, 2 Tm 3.34, 2 Y 3.64
Pm 0.5000 0.3247 0.5000  2 Ho 3.14, 2 Tm 3.22-3.52
Pm 0.5000 0.6753 0.0000  2 Ho 3.14, 2 Tm 3.22-3.52
Y 0.5000 0.9997 0.2503  2 Y 3.52, 6 Pm 3.60-3.65, 4 Ho 3.75, 2 Tm 3.76
Y 0.5000 0.0003 0.7503  2 Y 3.52, 6 Pm 3.60-3.65, 4 Ho 3.75, 2 Tm 3.76
Ho 0.0000 0.1797 0.5000  3 Pm 3.14-3.25
Ho 0.0000 0.8203 0.0000  3 Pm 3.14-3.25
Tm 0.0000 0.5003 0.2502  6 Tm 3.52-3.65, 2 Ho 3.57, 6 Pm 3.73-3.77
Tm 0.0000 0.4997 0.7502  6 Tm 3.52-3.65, 2 Ho 3.57, 6 Pm 3.73-3.77
Tm 0.5000 0.3429 0.0003  5 Pm 3.22-3.52
Tm 0.5000 0.6571 0.5003  5 Pm 3.22-3.52

Computed properties:
Mass density in g/cm³: 7.638
Space group: Pmc2_1 (26)
Formation energy in eV/atom: 0.06

***

2.
Material: BeIn2Cl
Method: DFT, PBE-GGA
State: optimized geometry

a b c (Å): 3.5840 5.1075 5.1096
angles (deg): 90.00 90.01 90.00
Last column: nearest neighbours and their distance in Å.
Atoms (fractional coordinates):
Be 0.0000 0.0000 0.0000  4 In 2.55-2.56
In 0.0079 0.0000 0.4997  2 Be 2.55-2.56
In 0.9953 0.5000 0.9988  2 Be 2.55
Cl 0.5004 0.5000 0.4992  8 In 3.10-3.14

Computed properties:
Distance to the lowest polymorph of the same formula in eV per atom: 0.130
Mass density in g/cm³: 4.866
Space group: Pm (6)
Energy relative to the elements, uncorrected in eV per atom: 0.01

***

3.
Material: Rb2HfReO6
Method: DFT, PBE-GGA
State: optimized geometry

a b c (Å): 5.7617 5.7617 5.7617
angles (deg): 60.00 60.00 60.00
Last column: nearest neighbours and their distance in Å.
Atoms (fractional coordinates):
Rb 0.2500 0.2500 0.2500  12 O 2.88
Rb 0.7500 0.7500 0.7500  12 O 2.88
Hf 0.0000 0.0000 0.0000  6 O 2.12
Re 0.5000 0.5000 0.5000  6 O 1.96
O 0.2601 0.2601 0.7399  1 Re 1.96, 1 Hf 2.12
O 0.2601 0.7399 0.2601  1 Re 1.96, 1 Hf 2.12
O 0.2601 0.7399 0.7399  1 Re 1.96, 1 Hf 2.12
O 0.7399 0.2601 0.2601  1 Re 1.96, 1 Hf 2.12
O 0.7399 0.2601 0.7399  1 Re 1.96, 1 Hf 2.12
O 0.7399 0.7399 0.2601  1 Re 1.96, 1 Hf 2.12

Computed properties:
Mass density in g/cm³: 7.755
Space group: Fm-3m (225)
Energy relative to the elements, uncorrected in eV per atom: -2.20

***

4.
Material: TbPm3Hg2
Method: DFT, PBE-GGA
State: optimized geometry

a b c (Å): 9.0787 9.0787 9.0787
angles (deg): 132.85 70.79 130.45
Last column: nearest neighbours and their distance in Å.
Atoms (fractional coordinates):
Tb 0.0000 0.0000 0.0000  2 Hg 2.98
Tb 0.5000 0.5000 0.0000  2 Hg 2.98
Pm 0.0225 0.2500 0.7725  4 Hg 3.12-3.17
Pm 0.2500 0.7500 0.5000  4 Hg 3.15
Pm 0.4775 0.2500 0.2275  4 Hg 3.12-3.17
Pm 0.5225 0.7500 0.7725  4 Hg 3.12-3.17
Pm 0.7500 0.2500 0.5000  4 Hg 3.15
Pm 0.9775 0.7500 0.2275  4 Hg 3.12-3.17
Hg 0.1382 0.7013 0.8395  1 Tb 2.98, 6 Pm 3.12-3.17
Hg 0.3618 0.2013 0.5632  1 Tb 2.98, 6 Pm 3.12-3.17
Hg 0.6382 0.7987 0.4368  1 Tb 2.98, 6 Pm 3.12-3.17
Hg 0.8618 0.2987 0.1605  1 Tb 2.98, 6 Pm 3.12-3.17

Computed properties:
Distance to the lowest polymorph of the same formula in eV per atom: 0.257
Mass density in g/cm³: 8.083
Space group: Ibam (72)
Formation energy in eV/atom: -0.08

***

5.
Material: Lu2ThCd
Method: DFT, PBE-GGA
State: optimized geometry

a b c (Å): 3.5645 3.5645 8.7691
angles (deg): 90.00 90.00 90.00
Last column: nearest neighbours and their distance in Å.
Atoms (fractional coordinates):
Lu 0.0000 0.0000 0.2260  4 Cd 3.21, 4 Th 3.48, 4 Lu 3.56
Lu 0.0000 0.0000 0.7740  4 Cd 3.21, 4 Th 3.48, 4 Lu 3.56
Th 0.5000 0.5000 0.5000  8 Lu 3.48, 4 Th 3.56
Cd 0.5000 0.5000 0.0000  8 Lu 3.21, 4 Cd 3.56

Computed properties:
Distance to the lowest polymorph of the same formula in eV per atom: 0.000
Mass density in g/cm³: 10.349
Space group: P4/mmm (123)
Formation energy in eV/atom: -0.15

***

6.
Material: K2NbO5
Method: DFT, PBE-GGA
State: optimized geometry

a b c (Å): 6.1851 6.1851 4.0732
angles (deg): 90.00 90.00 90.00
Last column: nearest neighbours and their distance in Å.
Atoms (fractional coordinates):
K 0.0000 0.5000 0.0000  10 O 3.00-3.09
K 0.5000 0.0000 0.0000  10 O 3.00-3.09
Nb 0.0000 0.0000 0.5000  6 O 1.97-2.04
O 0.0000 0.0000 0.0000  2 Nb 2.04
O 0.2249 0.2249 0.5000  1 Nb 1.97
O 0.2249 0.7751 0.5000  1 Nb 1.97
O 0.7751 0.2249 0.5000  1 Nb 1.97
O 0.7751 0.7751 0.5000  1 Nb 1.97

Computed properties:
Mass density in g/cm³: 2.676
Space group: P4/mmm (123)
Energy relative to the elements, uncorrected in eV per atom: -1.42

***

7.
Material: KNaTm2Cl8
Method: DFT, PBE-GGA
State: optimized geometry

a b c (Å): 6.6980 8.1476 6.8507
angles (deg): 90.00 94.24 90.00
Last column: nearest neighbours and their distance in Å.
Atoms (fractional coordinates):
K 0.0000 0.0000 0.0000  6 Cl 3.00-3.27
Na 0.0000 0.5000 0.0000  4 Cl 2.80
Tm 0.5000 0.2542 0.5000  6 Cl 2.56-2.68
Tm 0.5000 0.7458 0.5000  6 Cl 2.56-2.68
Cl 0.2368 0.2679 0.2106  1 Tm 2.56, 1 Na 2.80
Cl 0.2368 0.7321 0.2106  1 Tm 2.56, 1 Na 2.80
Cl 0.3083 0.5000 0.6639  2 Tm 2.67
Cl 0.3140 0.0000 0.6561  2 Tm 2.68
Cl 0.6860 0.0000 0.3439  2 Tm 2.68
Cl 0.6917 0.5000 0.3361  2 Tm 2.67
Cl 0.7632 0.2679 0.7894  1 Tm 2.56, 1 Na 2.80
Cl 0.7632 0.7321 0.7894  1 Tm 2.56, 1 Na 2.80

Computed properties:
Mass density in g/cm³: 3.044
Space group: P2/m (10)
Energy relative to the elements, uncorrected in eV per atom: -2.14

***

8.
Material: MnZn2Pt
Method: DFT, PBE-GGA
State: optimized geometry

a b c (Å): 4.6576 4.6576 4.6892
angles (deg): 100.25 100.25 35.92
Last column: nearest neighbours and their distance in Å.
Atoms (fractional coordinates):
Mn 0.0000 0.0000 0.0000  6 Zn 2.68-2.73, 4 Pt 2.75, 2 Mn 2.87
Zn 0.2485 0.2485 0.7489  3 Mn 2.68-2.73, 3 Pt 2.70, 6 Zn 2.74-2.87
Zn 0.7515 0.7515 0.2511  3 Mn 2.68-2.73, 3 Pt 2.70, 6 Zn 2.74-2.87
Pt 0.5000 0.5000 0.5000  6 Zn 2.70, 4 Mn 2.75, 2 Pt 2.87

Computed properties:
Mass density in g/cm³: 10.786
Space group: C2/m (12)
Formation energy in eV/atom: -0.25

***

9.
Material: YCrAu3
Method: DFT, PBE-GGA
State: optimized geometry

a b c (Å): 5.3763 5.3763 5.3763
angles (deg): 90.00 90.00 90.00
Last column: nearest neighbours and their distance in Å.
Atoms (fractional coordinates):
Y 0.0000 0.0000 0.0000  6 Au 2.69
Cr 0.5000 0.5000 0.5000  12 Au 3.80
Au 0.0000 0.0000 0.5000  2 Y 2.69
Au 0.0000 0.5000 0.0000  2 Y 2.69
Au 0.5000 0.0000 0.0000  2 Y 2.69

Computed properties:
Distance to the lowest polymorph of the same formula in eV per atom: 0.579
Mass density in g/cm³: 7.820
Space group: Pm-3m (221)
Formation energy in eV/atom: 0.74

***

10.
Material: PrPuIrPt
Method: DFT, PBE-GGA
State: optimized geometry

a b c (Å): 4.1692 6.0029 6.0029
angles (deg): 38.20 90.00 90.00
Last column: nearest neighbours and their distance in Å.
Atoms (fractional coordinates):
Pr 0.0000 0.0000 0.0000  1 Ir 2.94, 4 Pt 2.96
Pu 0.5000 0.2797 0.2797  4 Ir 2.90, 3 Pt 3.13-3.24
Ir 0.0000 0.7411 0.7411  2 Pt 2.89, 4 Pu 2.90, 1 Pr 2.94
Pt 0.5000 0.5650 0.5650  2 Ir 2.89, 4 Pr 2.96, 2 Pu 3.13

Computed properties:
Distance to the lowest polymorph of the same formula in eV per atom: 0.000
Mass density in g/cm³: 13.803
Space group: Amm2 (38)
Formation energy in eV/atom: -0.74

***

11.
Material: Nb2ReNi
Method: DFT, PBE-GGA
State: optimized geometry

a b c (Å): 3.2215 3.2215 6.0433
angles (deg): 90.00 90.00 90.00
Last column: nearest neighbours and their distance in Å.
Atoms (fractional coordinates):
Nb 0.0000 0.0000 0.2435  4 Ni 2.71, 4 Re 2.76, 1 Nb 2.94
Nb 0.0000 0.0000 0.7565  4 Ni 2.71, 4 Re 2.76, 1 Nb 2.94
Re 0.5000 0.5000 0.5000  8 Nb 2.76, 2 Ni 3.02
Ni 0.5000 0.5000 0.0000  8 Nb 2.71, 2 Re 3.02

Computed properties:
Mass density in g/cm³: 11.403
Space group: P4/mmm (123)
Formation energy in eV/atom: -0.15

***

12.
Material: SrDyPaN3
Method: DFT, PBE-GGA
State: optimized geometry

a b c (Å): 6.1429 3.5969 9.2881
angles (deg): 90.00 102.38 90.00
Last column: nearest neighbours and their distance in Å.
Atoms (fractional coordinates):
Sr 0.1541 0.2500 0.1890  7 N 2.79-2.91
Sr 0.8459 0.7500 0.8110  7 N 2.79-2.91
Dy 0.3591 0.2500 0.8624  4 N 2.28-2.51
Dy 0.6409 0.7500 0.1376  4 N 2.28-2.51
Pa 0.2643 0.7500 0.5419  6 N 2.26-2.49
Pa 0.7357 0.2500 0.4581  6 N 2.26-2.49
N 0.0511 0.2500 0.6356  3 Pa 2.26-2.49, 1 Dy 2.51
N 0.2758 0.7500 0.9910  3 Dy 2.28-2.36
N 0.4732 0.7500 0.3679  3 Pa 2.27-2.44
N 0.5268 0.2500 0.6321  3 Pa 2.27-2.44
N 0.7242 0.2500 0.0090  3 Dy 2.28-2.36
N 0.9489 0.7500 0.3644  3 Pa 2.26-2.49, 1 Dy 2.51

Computed properties:
Mass density in g/cm³: 8.668
Space group: P2_1/m (11)
Energy relative to the elements, uncorrected in eV per atom: -1.35